# 1
Crystalline RbNaTl4Pb2 at its relaxed geometry, computed with PBE.

Summary:
**Energy relative to the elements**: -0.071 eV per atom
**Calculated volume**: 260.9 Å³ per cell
**M_tot**: 0.0 μB per formula unit
**Symmetry**: R-3m

Lattice parameters (Å, degrees): 10.2280 10.2280 10.2280 31.60 31.60 31.60
With the nearest neighbours (Å) after each atom.
Sites, in units of the cell vectors:
1 Rb 0.0000 0.0000 0.0000  8 Tl 3.60-3.77
2 Na 0.5000 0.5000 0.5000  8 Tl 3.24-3.39
3 Tl 0.1295 0.1295 0.1295  4 Pb 3.34-3.42, 3 Na 3.39
4 Tl 0.3889 0.3889 0.3889  1 Na 3.24, 3 Pb 3.36, 3 Rb 3.60
5 Tl 0.6111 0.6111 0.6111  1 Na 3.24, 3 Pb 3.36, 3 Rb 3.60
6 Tl 0.8705 0.8705 0.8705  4 Pb 3.34-3.42, 3 Na 3.39
7 Pb 0.2442 0.2442 0.2442  7 Tl 3.34-3.42
8 Pb 0.7558 0.7558 0.7558  7 Tl 3.34-3.42

***

# 2
Crystalline RbNaTl2Pb at its relaxed geometry, computed with PBE.

Summary:
**Energy relative to the elements**: -0.093 eV per atom
**Calculated volume**: 369.8 Å³ per cell
**M_tot**: 0.0 μB per formula unit
**Symmetry**: Pmma

Lattice parameters (Å, degrees): 6.8785 7.0261 7.6510 90.00 90.00 90.00
With the nearest neighbours (Å) after each atom.
Sites, in units of the cell vectors:
1 Rb 0.2500 0.0000 0.1995  2 Na 3.73, 6 Tl 3.90-4.05
2 Rb 0.7500 0.0000 0.8005  2 Na 3.73, 6 Tl 3.90-4.05
3 Na 0.2500 0.5000 0.3651  2 Tl 3.25, 2 Pb 3.28
4 Na 0.7500 0.5000 0.6349  2 Tl 3.25, 2 Pb 3.28
5 Tl 0.2500 0.2473 0.7207  1 Na 3.25, 2 Pb 3.27, 2 Tl 3.48-3.55
6 Tl 0.2500 0.7527 0.7207  1 Na 3.25, 2 Pb 3.27, 2 Tl 3.48-3.55
7 Tl 0.7500 0.2473 0.2793  1 Na 3.25, 2 Pb 3.27, 2 Tl 3.48-3.55
8 Tl 0.7500 0.7527 0.2793  1 Na 3.25, 2 Pb 3.27, 2 Tl 3.48-3.55
9 Pb 0.0000 0.5000 0.0000  4 Tl 3.27, 2 Na 3.28, 2 Pb 3.44
10 Pb 0.5000 0.5000 0.0000  4 Tl 3.27, 2 Na 3.28, 2 Pb 3.44

***

# 3
Crystalline RbNaTl2Pb at its relaxed geometry, computed with PBE.

Summary:
**Energy relative to the elements**: 0.058 eV per atom
**Calculated volume**: 224.8 Å³ per cell
**M_tot**: 0.0 μB per formula unit
**Symmetry**: P4/mmm

Lattice parameters (Å, degrees): 6.1404 6.1404 5.9617 90.00 90.00 90.00
With the nearest neighbours (Å) after each atom.
Sites, in units of the cell vectors:
1 Rb 0.0000 0.0000 0.0000  8 Tl 4.28, 4 Na 4.34
2 Na 0.5000 0.5000 0.0000  2 Pb 2.98
3 Tl 0.0000 0.5000 0.5000  2 Pb 3.07
4 Tl 0.5000 0.0000 0.5000  2 Pb 3.07
5 Pb 0.5000 0.5000 0.5000  2 Na 2.98, 4 Tl 3.07

***

# 4
Crystalline RbNa2Tl2Pb2 at its relaxed geometry, computed with PBE.

Summary:
**Energy relative to the elements**: -0.100 eV per atom
**Calculated volume**: 483.7 Å³ per cell
**M_tot**: 0.0 μB per formula unit
**Symmetry**: C2/m

Lattice parameters (Å, degrees): 9.1780 5.2832 10.4250 90.00 106.88 90.00
With the nearest neighbours (Å) after each atom.
Sites, in units of the cell vectors:
1 Rb 0.0000 0.0000 0.0000  6 Tl 3.73-3.74
2 Rb 0.5000 0.5000 0.0000  6 Tl 3.73-3.74
3 Na 0.1442 0.0000 0.4345  3 Pb 3.22, 3 Na 3.31-3.33, 1 Tl 3.49
4 Na 0.3558 0.5000 0.5655  3 Pb 3.22, 3 Na 3.31-3.33, 1 Tl 3.49
5 Na 0.6442 0.5000 0.4345  3 Pb 3.22, 3 Na 3.31-3.33, 1 Tl 3.49
6 Na 0.8558 0.0000 0.5655  3 Pb 3.22, 3 Na 3.31-3.33, 1 Tl 3.49
7 Tl 0.2375 0.5000 0.2156  3 Pb 3.27, 1 Na 3.49
8 Tl 0.2625 0.0000 0.7844  3 Pb 3.27, 1 Na 3.49
9 Tl 0.7375 0.0000 0.2156  3 Pb 3.27, 1 Na 3.49
10 Tl 0.7625 0.5000 0.7844  3 Pb 3.27, 1 Na 3.49
11 Pb 0.0572 0.5000 0.6682  3 Na 3.22, 3 Tl 3.27, 1 Pb 3.36
12 Pb 0.4428 0.0000 0.3318  3 Na 3.22, 3 Tl 3.27, 1 Pb 3.36
13 Pb 0.5572 0.0000 0.6682  3 Na 3.22, 3 Tl 3.27, 1 Pb 3.36
14 Pb 0.9428 0.5000 0.3318  3 Na 3.22, 3 Tl 3.27, 1 Pb 3.36

***

# 5
Crystalline RbNaY2Pb at its relaxed geometry, computed with PBE.

Summary:
**Energy relative to the elements**: 0.328 eV per atom
**Calculated volume**: 246.7 Å³ per cell
**M_tot**: 0.0 μB per formula unit
**Symmetry**: P4/mmm

Lattice parameters (Å, degrees): 5.9264 5.9264 7.0243 90.00 90.00 90.00
With the nearest neighbours (Å) after each atom.
Sites, in units of the cell vectors:
1 Rb 0.0000 0.0000 0.0000  2 Pb 3.51
2 Na 0.5000 0.5000 0.0000  4 Rb 4.19, 8 Y 4.60
3 Y 0.0000 0.5000 0.5000  2 Pb 2.96
4 Y 0.5000 0.0000 0.5000  2 Pb 2.96
5 Pb 0.0000 0.0000 0.5000  4 Y 2.96

***

# 6
Crystalline Rb2Na4ZnPb2 at its relaxed geometry, computed with PBE.

Summary:
**Energy relative to the elements**: -0.054 eV per atom
**Calculated volume**: 330.2 Å³ per cell
**M_tot**: 0.0 μB per formula unit
**Symmetry**: C2/m

Lattice parameters (Å, degrees): 7.9835 7.9835 5.9368 98.14 98.14 62.25
With the nearest neighbours (Å) after each atom.
Sites, in units of the cell vectors:
1 Rb 0.1242 0.1242 0.2189  6 Na 3.63-3.91, 1 Pb 3.78, 1 Rb 3.92
2 Rb 0.8758 0.8758 0.7811  6 Na 3.63-3.91, 1 Pb 3.78, 1 Rb 3.92
3 Na 0.1633 0.5648 0.2874  1 Zn 3.19, 1 Na 3.31, 3 Pb 3.41-3.52
4 Na 0.4352 0.8367 0.7126  1 Zn 3.19, 1 Na 3.31, 3 Pb 3.41-3.52
5 Na 0.5648 0.1633 0.2874  1 Zn 3.19, 1 Na 3.31, 3 Pb 3.41-3.52
6 Na 0.8367 0.4352 0.7126  1 Zn 3.19, 1 Na 3.31, 3 Pb 3.41-3.52
7 Zn 0.5000 0.5000 0.0000  2 Pb 2.69
8 Pb 0.3151 0.3151 0.7582  1 Zn 2.69
9 Pb 0.6849 0.6849 0.2418  1 Zn 2.69

***

# 7
Crystalline RbNaZnPb at its relaxed geometry, computed with PBE.

Summary:
**Energy relative to the elements**: 0.044 eV per atom
**Calculated volume**: 481.2 Å³ per cell
**M_tot**: 0.0 μB per formula unit
**Symmetry**: F-43m

Lattice parameters (Å, degrees): 7.8362 7.8362 7.8362 90.00 90.00 90.00
With the nearest neighbours (Å) after each atom.
Sites, in units of the cell vectors:
1 Rb 0.0000 0.0000 0.0000  4 Na 3.39, 4 Zn 3.39
2 Rb 0.0000 0.5000 0.5000  4 Na 3.39, 4 Zn 3.39
3 Rb 0.5000 0.0000 0.5000  4 Na 3.39, 4 Zn 3.39
4 Rb 0.5000 0.5000 0.0000  4 Na 3.39, 4 Zn 3.39
5 Na 0.2500 0.2500 0.2500  4 Pb 3.39, 4 Rb 3.39
6 Na 0.2500 0.7500 0.7500  4 Pb 3.39, 4 Rb 3.39
7 Na 0.7500 0.2500 0.7500  4 Pb 3.39, 4 Rb 3.39
8 Na 0.7500 0.7500 0.2500  4 Pb 3.39, 4 Rb 3.39
9 Zn 0.2500 0.2500 0.7500  4 Rb 3.39, 4 Pb 3.39
10 Zn 0.2500 0.7500 0.2500  4 Rb 3.39, 4 Pb 3.39
11 Zn 0.7500 0.2500 0.2500  4 Rb 3.39, 4 Pb 3.39
12 Zn 0.7500 0.7500 0.7500  4 Pb 3.39, 4 Rb 3.39
13 Pb 0.0000 0.0000 0.5000  4 Zn 3.39, 4 Na 3.39
14 Pb 0.0000 0.5000 0.0000  4 Zn 3.39, 4 Na 3.39
15 Pb 0.5000 0.0000 0.0000  4 Zn 3.39, 4 Na 3.39
16 Pb 0.5000 0.5000 0.5000  4 Zn 3.39, 4 Na 3.39

***

# 8
Crystalline RbNaZnPb2 at its relaxed geometry, computed with PBE.

Summary:
**Energy relative to the elements**: 0.331 eV per atom
**Calculated volume**: 185.5 Å³ per cell
**M_tot**: 0.0 μB per formula unit
**Symmetry**: P4/mmm

Lattice parameters (Å, degrees): 5.7461 5.7461 5.6182 90.00 90.00 90.00
With the nearest neighbours (Å) after each atom.
Sites, in units of the cell vectors:
1 Rb 0.0000 0.0000 0.0000  8 Pb 4.02, 4 Zn 4.06
2 Na 0.5000 0.5000 0.5000  2 Zn 2.81, 4 Pb 2.87
3 Zn 0.5000 0.5000 0.0000  2 Na 2.81
4 Pb 0.0000 0.5000 0.5000  2 Na 2.87
5 Pb 0.5000 0.0000 0.5000  2 Na 2.87

***

What is the formula in the fourth record?
RbNa2Tl2Pb2